A geometry-optimized NdNbClO4 structure. Source: the Alexandria database, functional GGA-PBE.

Calculated total energy: -7.6498 eV/atom
E_form (uncorrected): -2.4331 eV per atom
Total moment: 1.94 μB/cell
Density of states at the Fermi level: 0.86 states/eV/f.u.

abc: 6.776 6.776 7.075
angles: 100.98 100.98 65.74
Fractional positions:
Nd  0.250  0.250  0.119
Nd  0.750  0.750  0.881
Nb  0.370  0.370  0.727
Nb  0.630  0.630  0.273
Cl  0.013  0.013  0.822
Cl  0.987  0.987  0.178
O  0.118  0.497  0.853
O  0.309  0.309  0.459
O  0.461  0.461  0.218
O  0.497  0.118  0.853
O  0.503  0.882  0.147
O  0.539  0.539  0.782
O  0.691  0.691  0.541
O  0.882  0.503  0.147